VASP calculation (PBE) on crystalline SrHoAlCd at its relaxed geometry.

Computed properties:
As for the space-group type: No. 216. The total magnetization is 0.00 μB per formula unit. As for the uncorrected energy: -11.8 eV/f.u.

```
SrHoAlCd
1.0
-4.631 -1.519 2.334
-0.745 -5.160 1.419
-0.067 -1.383 5.223
Sr Al Ho Cd
1 1 1 1
Direct
0.000 0.000 0.000
0.250 0.250 0.250
0.500 0.500 0.500
0.750 0.750 0.750
```



VASP calculation (PBE) on crystalline PmInIrPt at its relaxed geometry.

Computed properties:
As for the space-group type: No. 216. The total magnetization is 0.00 μB per formula unit. As for the uncorrected energy: -24.6 eV/f.u.

```
PmInIrPt
1.0
-1.120 -4.585 -1.073
3.214 -3.529 0.805
-0.759 -3.201 3.551
Ir In Pt Pm
1 1 1 1
Direct
0.500 0.500 0.500
0.250 0.250 0.250
0.000 0.000 0.000
0.750 0.750 0.750
```